Entry 1:
Compound: Na2CuSbS3
Source: the Alexandria database
Functional: PBEsol
Structure: relaxed

Lattice parameters (Å, degrees): 5.776 6.724 16.876 90.00 90.00 112.48
Fractional positions:
Cu1 0.513 0.406 0.286
Cu2 0.013 0.906 0.214
Cu3 0.487 0.594 0.714
Cu4 0.987 0.094 0.786
Na1 0.652 0.810 0.539
Na2 0.457 0.884 0.884
Na3 0.043 0.616 0.384
Na4 0.348 0.190 0.461
Na5 0.848 0.690 0.039
Na6 0.957 0.384 0.616
Na7 0.152 0.310 0.961
Na8 0.543 0.116 0.116
Sb1 0.771 0.518 0.826
Sb2 0.729 0.982 0.326
Sb3 0.229 0.482 0.174
Sb4 0.271 0.018 0.674
S1 0.144 0.804 0.556
S2 0.644 0.304 0.944
S3 0.458 0.373 0.612
S4 0.856 0.196 0.444
S5 0.542 0.627 0.388
S6 0.836 0.549 0.199
S7 0.042 0.127 0.112
S8 0.164 0.451 0.801
S9 0.336 0.049 0.301
S10 0.664 0.951 0.699
S11 0.958 0.873 0.888
S12 0.356 0.696 0.056

Properties
Its density is 3.59 Mg/m³. For the calculated volume, the calculation gives 606 Å³ per cell. The uncorrected formation energy comes out at -0.69 eV per atom.

***

Entry 2:
Compound: NaTiCuS3
Source: the Alexandria database
Functional: PBEsol
Structure: relaxed

Lattice parameters (Å, degrees): 3.523 9.462 12.793 90.00 90.00 90.00
Fractional positions:
S1 0.750 0.066 0.405
S2 0.250 0.934 0.595
S3 0.250 0.566 0.095
S4 0.750 0.873 0.100
S5 0.250 0.127 0.900
S6 0.750 0.238 0.636
S7 0.250 0.738 0.864
S8 0.750 0.262 0.136
S9 0.250 0.373 0.400
S10 0.750 0.627 0.600
S11 0.250 0.762 0.364
S12 0.750 0.434 0.905
Cu1 0.250 0.904 0.987
Cu2 0.750 0.096 0.013
Cu3 0.750 0.404 0.513
Cu4 0.250 0.596 0.487
Ti1 0.250 0.326 0.013
Ti2 0.750 0.826 0.487
Ti3 0.750 0.674 0.987
Ti4 0.250 0.174 0.513
Na1 0.750 0.954 0.766
Na2 0.250 0.454 0.734
Na3 0.750 0.546 0.266
Na4 0.250 0.046 0.234

Properties
Its density is 3.59 Mg/m³. For the calculated volume, the calculation gives 426 Å³ per cell. The uncorrected formation energy comes out at -1.10 eV per atom.

***

Entry 3:
Compound: Na2CuSb2
Source: the Alexandria database
Functional: PBEsol
Structure: relaxed

Lattice parameters (Å, degrees): 5.122 6.878 6.878 90.00 90.00 90.00
Fractional positions:
Sb1 0.000 0.152 0.348
Sb2 0.000 0.348 0.848
Sb3 0.000 0.652 0.152
Sb4 0.000 0.848 0.652
Cu1 0.000 0.000 0.000
Cu2 0.000 0.500 0.500
Na1 0.500 0.834 0.334
Na2 0.500 0.166 0.666
Na3 0.500 0.334 0.166
Na4 0.500 0.666 0.834

Properties
Its density is 4.84 Mg/m³. For the calculated volume, the calculation gives 242 Å³ per cell. The uncorrected formation energy comes out at -0.21 eV per atom.

***

Entry 4:
Compound: NaCuSbTe2
Source: the Alexandria database
Functional: PBEsol
Structure: relaxed

Lattice parameters (Å, degrees): 4.880 5.347 5.347 90.00 90.00 90.00
Fractional positions:
Sb1 0.500 0.000 0.000
Te1 0.000 0.000 0.500
Te2 0.000 0.500 0.000
Cu1 0.000 0.000 0.000
Na1 0.500 0.500 0.500

Properties
Its density is 5.52 Mg/m³. For the calculated volume, the calculation gives 140 Å³ per cell. The uncorrected formation energy comes out at 0.07 eV per atom.